Entry 1:
Below is a relaxed structure of Ta2CuRh9, with properties calculated at the PBE level.

Formation energy from the elements ... -381 meV per atom
SG ... P4/mmm, No. 123
Calculated total energy ... -8.21 eV per atom
Total moment ... 0.00 μB/f.u.
D(E_F) ... 0.86 states/eV/atom

Unit cell a=3.886 b=3.886 c=11.574 alpha=90.00 beta=90.00 gamma=90.00
Sites, in units of the cell vectors:
Ta (0.000, 0.000, 0.172)
Ta (0.000, 0.000, 0.828)
Cu (0.000, 0.000, 0.500)
Rh (0.000, 0.500, 0.000)
Rh (0.000, 0.500, 0.335)
Rh (0.000, 0.500, 0.665)
Rh (0.500, 0.000, 0.000)
Rh (0.500, 0.000, 0.335)
Rh (0.500, 0.000, 0.665)
Rh (0.500, 0.500, 0.167)
Rh (0.500, 0.500, 0.500)
Rh (0.500, 0.500, 0.833)

Entry 2:
Below is a relaxed structure of CeGa2Pd8, with properties calculated at the PBE level.

Formation energy from the elements ... -591 meV per atom
SG ... C2/m, No. 12
Calculated total energy ... -5.46 eV per atom
Total moment ... 0.00 μB/f.u.
D(E_F) ... 0.47 states/eV/atom

Unit cell a=7.328 b=7.328 c=6.606 alpha=112.02 beta=112.02 gamma=33.31
Sites, in units of the cell vectors:
Ce (0.000, 0.000, 0.000)
Ga (0.291, 0.291, 0.337)
Ga (0.709, 0.709, 0.663)
Pd (0.105, 0.105, 0.472)
Pd (0.180, 0.180, 0.933)
Pd (0.338, 0.338, 0.759)
Pd (0.462, 0.462, 0.271)
Pd (0.538, 0.538, 0.729)
Pd (0.662, 0.662, 0.241)
Pd (0.820, 0.820, 0.067)
Pd (0.895, 0.895, 0.528)

Entry 3:
Below is a relaxed structure of CsW3Br3Cl4, with properties calculated at the PBE level.

SG ... P31c, No. 159
Calculated total energy ... -5.60 eV per atom
Total moment ... 0.00 μB/f.u.
ΔE_f (raw) ... -0.86 eV/atom
D(E_F) ... 0.00 states/eV/atom

Unit cell a=10.239 b=10.239 c=16.227 alpha=90.00 beta=90.00 gamma=120.00
Sites, in units of the cell vectors:
Cs (0.000, 0.000, 0.000)
Cs (0.000, 0.000, 0.500)
Cs (0.333, 0.667, 0.248)
Cs (0.667, 0.333, 0.748)
W (0.183, 0.519, 0.683)
W (0.184, 0.666, 0.815)
W (0.334, 0.518, 0.815)
W (0.335, 0.817, 0.683)
W (0.481, 0.665, 0.683)
W (0.482, 0.816, 0.815)
W (0.518, 0.334, 0.315)
W (0.519, 0.183, 0.183)
W (0.665, 0.481, 0.183)
W (0.666, 0.184, 0.315)
W (0.816, 0.482, 0.315)
W (0.817, 0.335, 0.183)
Br (0.037, 0.690, 0.401)
Br (0.039, 0.350, 0.096)
Br (0.310, 0.347, 0.401)
Br (0.311, 0.961, 0.096)
Br (0.347, 0.310, 0.901)
Br (0.350, 0.039, 0.596)
Br (0.650, 0.689, 0.096)
Br (0.653, 0.963, 0.401)
Br (0.689, 0.650, 0.596)
Br (0.690, 0.037, 0.901)
Br (0.961, 0.311, 0.596)
Br (0.963, 0.653, 0.901)
Cl (0.052, 0.381, 0.814)
Cl (0.053, 0.673, 0.684)
Cl (0.327, 0.380, 0.684)
Cl (0.329, 0.948, 0.814)
Cl (0.333, 0.667, 0.560)
Cl (0.333, 0.667, 0.938)
Cl (0.380, 0.327, 0.184)
Cl (0.381, 0.052, 0.314)
Cl (0.619, 0.671, 0.814)
Cl (0.620, 0.947, 0.684)
Cl (0.667, 0.333, 0.060)
Cl (0.667, 0.333, 0.438)
Cl (0.671, 0.619, 0.314)
Cl (0.673, 0.053, 0.184)
Cl (0.947, 0.620, 0.184)
Cl (0.948, 0.329, 0.314)

Entry 4:
Below is a relaxed structure of Rb2IrPd2, with properties calculated at the PBE level.

Formation energy from the elements ... 429 meV per atom
SG ... P4/mbm, No. 127
Calculated total energy ... -3.81 eV per atom
Total moment ... 0.83 μB/f.u.
D(E_F) ... 0.56 states/eV/atom

Unit cell a=6.703 b=6.703 c=5.645 alpha=90.00 beta=90.00 gamma=90.00
Sites, in units of the cell vectors:
Rb (0.183, 0.317, 0.000)
Rb (0.317, 0.817, 0.000)
Rb (0.683, 0.183, 0.000)
Rb (0.817, 0.683, 0.000)
Ir (0.000, 0.000, 0.500)
Ir (0.500, 0.500, 0.500)
Pd (0.140, 0.640, 0.500)
Pd (0.360, 0.140, 0.500)
Pd (0.640, 0.860, 0.500)
Pd (0.860, 0.360, 0.500)